(1)
# SrCaTa2Au

A geometry-optimized SrCaTa2Au structure (PBE-GGA, Alexandria).

Unit cell a=4.987 b=5.351 c=4.987 alpha=90.00 beta=90.00 gamma=90.00
Fractional coordinates of all 5 atoms:
Sr  0.000  0.000  0.000
Ca  0.000  0.500  0.000
Au  0.500  0.500  0.500
Ta  0.000  0.000  0.500
Ta  0.500  0.000  0.000

Calculated values
D(E_F), states/eV per atom: 1.24
Crystal system: tetragonal
Space-group type: P4/mmm
ΔE_f, kJ/mol of atoms: 224.4

(2)
# AgSnGe2H

A geometry-optimized AgSnGe2H structure (PBE-GGA, Alexandria).

Unit cell a=5.402 b=3.535 c=5.402 alpha=90.00 beta=90.00 gamma=90.00
Fractional coordinates of all 5 atoms:
H  0.000  0.500  0.000
Ge  0.000  0.000  0.500
Ge  0.500  0.000  0.000
Sn  0.000  0.000  0.000
Ag  0.500  0.500  0.500

Calculated values
D(E_F), states/eV per atom: 0.41
Crystal system: tetragonal
Space-group type: P4/mmm

(3)
# RbLi2TiI6

A geometry-optimized RbLi2TiI6 structure (PBE-GGA, Alexandria).

Unit cell a=8.958 b=10.693 c=10.693 alpha=83.53 beta=72.33 gamma=72.33
Fractional coordinates of all 20 atoms:
Rb  0.250  0.836  0.164
Rb  0.750  0.164  0.836
Li  0.354  0.629  0.512
Li  0.146  0.488  0.371
Li  0.646  0.371  0.488
Li  0.854  0.512  0.629
Ti  0.250  0.178  0.822
Ti  0.750  0.822  0.178
I  0.179  0.957  0.814
I  0.321  0.186  0.043
I  0.821  0.043  0.186
I  0.679  0.814  0.957
I  0.491  0.845  0.389
I  0.009  0.611  0.155
I  0.509  0.155  0.611
I  0.991  0.389  0.845
I  0.023  0.700  0.538
I  0.477  0.462  0.300
I  0.977  0.300  0.462
I  0.523  0.538  0.700

Calculated values
D(E_F), states/eV per atom: 0.67
Crystal system: monoclinic
Energy relative to the elements, uncorrected, meV/atom: -1019
Space-group type: C2/c

(4)
# MgV2Ir2

A geometry-optimized MgV2Ir2 structure (PBE-GGA, Alexandria).

Unit cell a=7.507 b=7.507 c=2.750 alpha=90.00 beta=90.00 gamma=90.00
Fractional coordinates of all 10 atoms:
Mg  0.000  0.000  0.000
Mg  0.500  0.500  0.000
Ir  0.146  0.646  0.500
Ir  0.646  0.854  0.500
Ir  0.854  0.354  0.500
Ir  0.354  0.146  0.500
V  0.355  0.855  0.000
V  0.855  0.645  0.000
V  0.645  0.145  0.000
V  0.145  0.355  0.000

Calculated values
D(E_F), states/eV per atom: 0.96
Crystal system: tetragonal
Space-group type: P4/mbm
ΔE_f, kJ/mol of atoms: -28.3

| no. | uncorrected energy (eV/atom) | magnetic moment (μB per cell) |
| --- | --- | --- |
| 1 | -3.81 | 0.44 |
| 2 | -3.34 | 0.00 |
| 3 | -3.22 | 2.00 |
| 4 | -7.80 | 0.00 |